## AgPb6Au2 (PBE-GGA)

Data for AgPb6Au2 after structural relaxation.

```
9
Lattice="6.9302 -2.1984 0.0000 6.9302 2.1984 0.0000 -5.4175 0.0000 8.1435" Properties=species:S:1:pos:R:3 pbc="T T T"
Ag 0.0000 0.0000 0.0000
Pb -3.3944 0.0000 5.6070
Pb 1.8420 0.0000 3.0296
Pb -0.7026 0.0000 8.0260
Pb 9.1455 0.0000 0.1175
Pb 6.6009 0.0000 5.1138
Pb 11.8373 0.0000 2.5365
Au 1.5340 0.0000 6.0232
Au 6.9090 0.0000 2.1202
```

The space group is No. 12. The density of states at the Fermi level is 4.634 states/eV per cell. Its energy is -3.55 eV/atom. As for the calculated volume: 27.571 A^3/atom. For the formation energy, the calculation gives -0.028 eV per atom.